Ac6YPd4 | PBE | relaxed

a = 8.6024 Å, b = 9.5905 Å, c = 9.7757 Å
α = 90.00°, β = 115.98°, γ = 90.00°
Space group Cm (No. 8)
One atom of each set of equivalent atoms:
Ac1 0.0000 0.0000 0.0000 (multiplicity 2)
Ac2 0.0197 0.5000 0.9985 (multiplicity 2)
Ac3 0.3397 0.2520 0.6629 (multiplicity 4)
Ac4 0.4029 0.2282 0.2871 (multiplicity 4)
Y1 0.0552 0.0000 0.5900 (multiplicity 2)
Pd1 0.1704 0.0000 0.3525 (multiplicity 2)
Pd2 0.2017 0.5000 0.3520 (multiplicity 2)
Pd3 0.2247 0.2370 0.9299 (multiplicity 4)

Properties
- raw total energy (eV per cell) = -113.93
- ΔH_f (0 K) (meV per atom) = -462
- total magnetization (μB per atom) = 0.000
- mass density (g/cm³) = 8.596